# 1
# AcTbHo3Er

An optimized crystal structure of AcTbHo3Er (PBE-GGA, Alexandria).

The structure belongs to space group C2/m (No. 12); the cell edges are 19.9356, 4.9378 and 8.4467 Å and the angles 90.00°, 90.19° and 90.00°. The asymmetric unit holds Ac at (0.0999, 0.0000, 0.0585), Tb at (0.0722, 0.5000, 0.3768), Ho at (0.0474, 0.0000, 0.6531), Ho at (0.1563, 0.5000, 0.7460), Ho at (0.2334, 0.5000, 0.1535) and Er at (0.1919, 0.0000, 0.4542).

Its crystal system is monoclinic. The calculation puts the total energy at -4.364 eV/atom. As for the energy relative to the elements: 142 meV per atom. Its density of states at the Fermi level is 1.482 states/eV per atom.

***

# 2
# AcTb6Ho3Er2

An optimized crystal structure of AcTb6Ho3Er2 (PBE-GGA, Alexandria).

The structure belongs to space group C2/m (No. 12); the cell edges are 6.1922, 10.7202 and 11.8631 Å and the angles 90.00°, 99.99° and 90.00°. The asymmetric unit holds Ac at (0.0000, 0.0000, 0.0000), Tb at (0.2461, 0.3317, 0.7455), Tb at (0.2489, 0.5000, 0.2548), Ho at (0.0000, 0.1672, 0.5000), Ho at (0.0000, 0.5000, 0.5000) and Er at (0.0000, 0.3334, 0.0000).

Its crystal system is monoclinic. The calculation puts the total energy at -4.531 eV/atom. As for the energy relative to the elements: 32 meV per atom. Its density of states at the Fermi level is 1.286 states/eV per atom.

***

# 3
# Ac3HoEr3Te8

An optimized crystal structure of Ac3HoEr3Te8 (PBE-GGA, Alexandria).

The structure belongs to space group R-3m (No. 166, hexagonal axes); the cell edges are 8.8811, 8.8811 and 22.6403 Å and the angles 90.00°, 90.00° and 120.00°. The asymmetric unit holds Ac at (0.0000, 0.5000, 0.0000), Ho at (0.0000, 0.0000, 0.5000), Er at (0.0000, 0.5000, 0.5000), Te at (0.0000, 0.0000, 0.2404) and Te at (0.0092, 0.5046, 0.7572).

Its crystal system is trigonal. The calculation puts the total energy at -5.116 eV/atom. Its density of states at the Fermi level is 0.486 states/eV per atom.